[1]
! CoSbCl2, optimized geometry, DFT PBE-GGA; values from VASP
! * magnetic moment: 1.5 Bohr magnetons per cell
! * Fermi-level density of states: 3.43 states/eV/cell
! * symmetry: Immm (71)
! * DFT total energy: -15.3 eV per cell
! * relative energy among the computed polymorphs: 170 meV per atom
! * ΔE_f (raw): -86 meV/atom
&SYSTEM
  ibrav = 0, nat = 4, ntyp = 3
/
ATOMIC_SPECIES
Sb 121.76 Sb.upf
Co 58.93 Co.upf
Cl 35.45 Cl.upf
CELL_PARAMETERS angstrom
7.300 0.367 -0.030
4.830 5.486 0.030
-5.628 -3.832 2.658
ATOMIC_POSITIONS crystal
Sb 0.750 0.250 0.500
Co 0.250 0.750 0.500
Cl 0.115 0.115 0.000
Cl 0.385 0.385 0.000

=====

[2]
! SrTl2Pb, optimized geometry, DFT PBE-GGA; values from VASP
! * magnetic moment: 0.0 Bohr magnetons per cell
! * Fermi-level density of states: 1.62 states/eV/cell
! * symmetry: Immm (71)
! * energy of formation: -248 meV per atom
! * DFT total energy: -11.1 eV per cell
&SYSTEM
  ibrav = 0, nat = 4, ntyp = 3
/
ATOMIC_SPECIES
Pb 207.20 Pb.upf
Sr 87.62 Sr.upf
Tl 204.38 Tl.upf
CELL_PARAMETERS angstrom
3.921 0.000 0.000
0.000 5.818 0.000
-1.960 -2.909 5.741
ATOMIC_POSITIONS crystal
Pb 0.500 0.000 0.000
Sr 0.000 0.500 0.000
Tl 0.759 0.759 0.518
Tl 0.241 0.241 0.482

=====

[3]
! CaHfS3, optimized geometry, DFT PBE-GGA; values from VASP
! * magnetic moment: 0.0 Bohr magnetons per cell
! * symmetry: Pnma (62)
! * DFT total energy: -132.6 eV per cell
! * ΔE_f (raw): -1762 meV/atom
&SYSTEM
  ibrav = 0, nat = 20, ntyp = 3
/
ATOMIC_SPECIES
Ca 40.08 Ca.upf
Hf 178.49 Hf.upf
S 32.06 S.upf
CELL_PARAMETERS angstrom
-1.736 2.956 -1.428
1.321 -2.973 -7.760
-12.134 -6.853 0.560
ATOMIC_POSITIONS crystal
Ca 0.750 0.906 0.800
Ca 0.250 0.094 0.200
Ca 0.750 0.406 0.700
Ca 0.250 0.594 0.300
Hf 0.250 0.309 0.955
Hf 0.250 0.809 0.545
Hf 0.750 0.191 0.455
Hf 0.750 0.691 0.045
S 0.250 0.338 0.541
S 0.750 0.820 0.205
S 0.750 0.496 0.897
S 0.750 0.996 0.603
S 0.750 0.662 0.459
S 0.250 0.004 0.397
S 0.250 0.838 0.959
S 0.750 0.320 0.295
S 0.250 0.680 0.705
S 0.250 0.180 0.795
S 0.750 0.162 0.041
S 0.250 0.504 0.103

=====

[4]
! Sm8HC3Br4, optimized geometry, DFT PBE-GGA; values from VASP
! * magnetic moment: 0.0 Bohr magnetons per cell
! * Fermi-level density of states: 5.29 states/eV/cell
! * symmetry: R-3m (166)
! * DFT total energy: -89.0 eV per cell
&SYSTEM
  ibrav = 0, nat = 16, ntyp = 4
/
ATOMIC_SPECIES
Sm 150.36 Sm.upf
H 1.01 H.upf
C 12.01 C.upf
Br 79.90 Br.upf
CELL_PARAMETERS angstrom
-7.052 -2.253 -1.366
2.973 -6.943 -3.895
2.297 1.089 7.088
ATOMIC_POSITIONS crystal
Sm 0.236 0.687 0.951
Sm 0.236 0.687 0.473
Sm 0.273 0.318 0.546
Sm 0.714 0.687 0.951
Sm 0.286 0.313 0.049
Sm 0.727 0.682 0.454
Sm 0.764 0.313 0.527
Sm 0.764 0.313 0.049
H 0.000 0.500 0.000
C 0.500 0.500 0.000
C 0.500 0.500 0.500
C 0.000 0.500 0.500
Br 0.500 0.000 0.000
Br 0.500 0.000 0.500
Br 0.000 0.000 0.000
Br 0.000 0.000 0.500

=====

[5]
! TcPt2W, optimized geometry, DFT PBE-GGA; values from VASP
! * magnetic moment: 0.0 Bohr magnetons per cell
! * Fermi-level density of states: 3.24 states/eV/cell
! * symmetry: P4/mmm (123)
! * energy of formation: -200 meV per atom
! * DFT total energy: -36.2 eV per cell
! * relative energy among the computed polymorphs: 23 meV per atom
&SYSTEM
  ibrav = 0, nat = 4, ntyp = 3
/
ATOMIC_SPECIES
Pt 195.08 Pt.upf
Tc 98.00 Tc.upf
W 183.84 W.upf
CELL_PARAMETERS angstrom
3.849 0.000 0.000
0.000 3.849 0.000
0.000 0.000 4.115
ATOMIC_POSITIONS crystal
Pt 0.000 0.000 0.000
Pt 0.500 0.500 0.000
Tc 0.500 0.000 0.500
W 0.000 0.500 0.500

=====

[6]
! AlPbOF2, optimized geometry, DFT PBE-GGA; values from VASP
! * magnetic moment: 0.0 Bohr magnetons per cell
! * Fermi-level density of states: 2.37 states/eV/cell
! * symmetry: P4/mmm (123)
! * DFT total energy: -26.7 eV per cell
! * ΔE_f (raw): -2118 meV/atom
&SYSTEM
  ibrav = 0, nat = 5, ntyp = 4
/
ATOMIC_SPECIES
Pb 207.20 Pb.upf
Al 26.98 Al.upf
O 16.00 O.upf
F 19.00 F.upf
CELL_PARAMETERS angstrom
-0.572 -0.408 -4.257
3.935 -1.733 -0.363
-1.391 -3.264 0.500
ATOMIC_POSITIONS crystal
Pb 0.500 0.500 0.500
Al 0.000 0.000 0.000
O 0.000 0.000 0.500
F 0.000 0.500 0.000
F 0.500 0.000 0.000

=====

[7]
! Na2LaThTe4, optimized geometry, DFT PBE-GGA; values from VASP
! * magnetic moment: 0.0 Bohr magnetons per cell
! * Fermi-level density of states: 4.19 states/eV/cell
! * symmetry: P2/m (10)
! * DFT total energy: -37.5 eV per cell
! * ΔE_f (raw): -1242 meV/atom
&SYSTEM
  ibrav = 0, nat = 8, ntyp = 4
/
ATOMIC_SPECIES
Na 22.99 Na.upf
La 138.91 La.upf
Th 232.04 Th.upf
Te 127.60 Te.upf
CELL_PARAMETERS angstrom
-0.057 4.207 -1.604
-6.528 1.479 4.111
6.406 1.830 4.573
ATOMIC_POSITIONS crystal
Na 0.500 0.000 0.500
Na 0.000 0.500 0.500
La 0.500 0.500 0.000
Th 0.000 0.000 0.000
Te 0.500 0.242 0.244
Te 0.500 0.758 0.756
Te 0.000 0.245 0.755
Te 0.000 0.755 0.245

=====

[8]
! Sr2AsN, optimized geometry, DFT PBE-GGA; values from VASP
! * magnetic moment: 2.0 Bohr magnetons per cell
! * Fermi-level density of states: 1.77 states/eV/cell
! * symmetry: Fm-3m (225)
! * DFT total energy: -16.9 eV per cell
! * relative energy among the computed polymorphs: 175 meV per atom
! * ΔE_f (raw): -148 meV/atom
&SYSTEM
  ibrav = 0, nat = 4, ntyp = 3
/
ATOMIC_SPECIES
Sr 87.62 Sr.upf
As 74.92 As.upf
N 14.01 N.upf
CELL_PARAMETERS angstrom
4.070 -2.336 2.118
-0.680 -3.440 3.769
0.852 -4.998 -0.892
ATOMIC_POSITIONS crystal
Sr 0.250 0.250 0.250
Sr 0.750 0.750 0.750
As 0.500 0.500 0.500
N 0.000 0.000 0.000

=====

[9]
! KRb2NaBr6, optimized geometry, DFT PBE-GGA; values from VASP
! * magnetic moment: 2.0 Bohr magnetons per cell
! * Fermi-level density of states: 23.13 states/eV/cell
! * symmetry: Fm-3m (225)
! * DFT total energy: -25.5 eV per cell
! * ΔE_f (raw): -1111 meV/atom
&SYSTEM
  ibrav = 0, nat = 10, ntyp = 4
/
ATOMIC_SPECIES
Na 22.99 Na.upf
K 39.10 K.upf
Br 79.90 Br.upf
Rb 85.47 Rb.upf
CELL_PARAMETERS angstrom
-4.966 -4.074 5.411
-2.818 -4.858 -6.244
0.462 -8.360 0.647
ATOMIC_POSITIONS crystal
Na 0.500 0.500 0.000
K 0.000 0.000 0.000
Br 0.262 0.262 0.477
Br 0.738 0.738 0.523
Br 0.262 0.262 0.000
Br 0.738 0.738 0.000
Br 0.738 0.262 0.000
Br 0.262 0.738 0.000
Rb 0.750 0.250 0.500
Rb 0.250 0.750 0.500

=====

[10]
! NbV4Cr5, optimized geometry, DFT PBE-GGA; values from VASP
! * magnetic moment: 0.0 Bohr magnetons per cell
! * Fermi-level density of states: 12.28 states/eV/cell
! * symmetry: P4/mmm (123)
! * energy of formation: -38 meV per atom
! * DFT total energy: -95.0 eV per cell
&SYSTEM
  ibrav = 0, nat = 10, ntyp = 3
/
ATOMIC_SPECIES
Nb 92.91 Nb.upf
V 50.94 V.upf
Cr 52.00 Cr.upf
CELL_PARAMETERS angstrom
-2.909 -0.262 0.438
0.319 -2.912 0.377
1.998 2.101 14.526
ATOMIC_POSITIONS crystal
Nb 0.000 0.000 0.000
V 0.000 0.000 0.206
V 0.000 0.000 0.402
V 0.000 0.000 0.598
V 0.000 0.000 0.794
Cr 0.500 0.500 0.111
Cr 0.500 0.500 0.305
Cr 0.500 0.500 0.500
Cr 0.500 0.500 0.695
Cr 0.500 0.500 0.889

=====

[11]
! SmScRh4, optimized geometry, DFT PBE-GGA; values from VASP
! * magnetic moment: 0.0 Bohr magnetons per cell
! * Fermi-level density of states: 4.19 states/eV/cell
! * symmetry: F-43m (216)
! * energy of formation: -673 meV per atom
! * DFT total energy: -44.5 eV per cell
&SYSTEM
  ibrav = 0, nat = 6, ntyp = 3
/
ATOMIC_SPECIES
Sc 44.96 Sc.upf
Rh 102.91 Rh.upf
Sm 150.36 Sm.upf
CELL_PARAMETERS angstrom
5.300 0.000 0.000
2.650 4.590 0.000
2.650 1.530 4.327
ATOMIC_POSITIONS crystal
Sc 0.250 0.250 0.250
Rh 0.625 0.625 0.126
Rh 0.625 0.126 0.625
Rh 0.625 0.625 0.625
Rh 0.126 0.625 0.625
Sm 0.000 0.000 0.000

=====

[12]
! Pm12InNi6, optimized geometry, DFT PBE-GGA; values from VASP
! * magnetic moment: 0.0 Bohr magnetons per cell
! * Fermi-level density of states: 15.79 states/eV/cell
! * symmetry: Im-3 (204)
! * energy of formation: -295 meV per atom
! * DFT total energy: -100.0 eV per cell
&SYSTEM
  ibrav = 0, nat = 19, ntyp = 3
/
ATOMIC_SPECIES
Pm 145.00 Pm.upf
In 114.82 In.upf
Ni 58.69 Ni.upf
CELL_PARAMETERS angstrom
-1.634 8.490 -0.274
-7.446 -4.384 -0.407
4.073 -1.916 7.387
ATOMIC_POSITIONS crystal
Pm 0.306 0.120 0.814
Pm 0.306 0.492 0.186
Pm 0.694 0.508 0.814
Pm 0.694 0.880 0.186
Pm 0.120 0.814 0.306
Pm 0.492 0.186 0.306
Pm 0.508 0.814 0.694
Pm 0.880 0.186 0.694
Pm 0.814 0.306 0.120
Pm 0.186 0.306 0.492
Pm 0.814 0.694 0.508
Pm 0.186 0.694 0.880
In 0.000 0.000 0.000
Ni 0.379 0.500 0.879
Ni 0.621 0.500 0.121
Ni 0.500 0.879 0.379
Ni 0.500 0.121 0.621
Ni 0.879 0.379 0.500
Ni 0.121 0.621 0.500